1.
Li2Pd2W GGA-PBE optimized geometry; electronic total energy = -27.262 eV/f.u.; ΔE_f = -0.02 eV per atom; ΔE to the lowest computed polymorph = 0 kJ/mol of formula units; SG = P4/mbm (127); V = 13.6 A^3/atom; size of the total moment = 0.000 μB per formula unit
1.0
7.0883 0.0000 0.0000
0.0000 7.0883 0.0000
0.0000 0.0000 2.7095
Li Pd W
4 4 2
Direct
0.1093 0.3907 0.0000
0.3907 0.8907 0.0000
0.6093 0.1093 0.0000
0.8907 0.6093 0.0000
0.1922 0.6922 0.5000
0.3078 0.1922 0.5000
0.6922 0.8078 0.5000
0.8078 0.3078 0.5000
0.0000 0.0000 0.0000
0.5000 0.5000 0.0000

***

2.
Li2Pd8W GGA-PBE optimized geometry; electronic total energy = -59.190 eV/f.u.; ΔE_f = -0.08 eV per atom; SG = Cmmm (65); V = 15.1 A^3/atom; size of the total moment = 0.000 μB per formula unit
1.0
3.9653 -5.1418 0.0000
3.9653 5.1418 0.0000
0.0000 0.0000 4.0864
Li Pd W
2 8 1
Direct
0.1171 0.8829 0.0000
0.8829 0.1171 0.0000
0.1700 0.1700 0.5000
0.1949 0.4596 0.0000
0.2418 0.7582 0.5000
0.4596 0.1949 0.0000
0.5404 0.8051 0.0000
0.7582 0.2418 0.5000
0.8051 0.5404 0.0000
0.8300 0.8300 0.5000
0.5000 0.5000 0.5000

***

3.
LiPd3W GGA-PBE optimized geometry; electronic total energy = -26.211 eV/f.u.; ΔE_f = 0.85 eV per atom; ΔE to the lowest computed polymorph = 100 kJ/mol of formula units; SG = Pm-3m (221); V = 22.8 A^3/atom; size of the total moment = 0.000 μB per formula unit
1.0
4.8519 0.0000 0.0000
0.0000 4.8519 0.0000
0.0000 0.0000 4.8519
Li Pd W
1 3 1
Direct
0.0000 0.0000 0.0000
0.0000 0.5000 0.5000
0.5000 0.0000 0.5000
0.5000 0.5000 0.0000
0.5000 0.5000 0.5000